Entry 1:
! PBE Tb2NpNi, optimized geometry; values from VASP
! Formation energy from the elements: 0.40 eV/atom
&SYSTEM
  ibrav = 0, nat = 4, ntyp = 3
/
ATOMIC_SPECIES
Np 237.00 Np.upf
Ni 58.69 Ni.upf
Tb 158.93 Tb.upf
ATOMIC_POSITIONS angstrom
Np 0.0000 0.0000 0.0000
Ni 3.4423 1.9874 5.2006
Tb 1.7211 0.9937 7.0426
Tb 5.1634 2.9811 3.3586
CELL_PARAMETERS angstrom
3.4423 0.0000 0.0000
1.7211 2.9811 0.0000
1.7211 0.9937 10.4012


Entry 2:
! PBE La4TbCd2, optimized geometry; values from VASP
! Formation energy from the elements: -0.13 eV/atom
&SYSTEM
  ibrav = 0, nat = 7, ntyp = 3
/
ATOMIC_SPECIES
Cd 112.41 Cd.upf
Tb 158.93 Tb.upf
La 138.91 La.upf
ATOMIC_POSITIONS angstrom
Cd 5.6155 3.4533 10.1275
Cd 2.2443 1.3802 2.1835
Tb 0.0000 0.0000 0.0000
La 6.5906 4.0529 7.0063
La 1.2692 0.7805 5.3047
La 4.5052 2.7705 4.3142
La 3.3546 2.0630 7.9968
CELL_PARAMETERS angstrom
5.3325 0.0000 1.6660
2.4060 4.7589 1.6660
0.1213 0.0746 8.9790


Entry 3:
! PBE Mg5Zn2Ga12, optimized geometry; values from VASP
! Formation energy from the elements: 0.01 eV/atom
&SYSTEM
  ibrav = 0, nat = 19, ntyp = 3
/
ATOMIC_SPECIES
Mg 24.30 Mg.upf
Zn 65.41 Zn.upf
Ga 69.72 Ga.upf
ATOMIC_POSITIONS angstrom
Mg 1.7230 -3.7881 -0.6007
Mg 1.4670 -1.0551 -3.1672
Mg 0.7303 -3.5867 2.1699
Mg -0.9141 -8.2834 0.3995
Mg -1.1701 -5.5504 -2.1670
Zn -4.4555 -1.7941 -1.4660
Zn -2.0276 -0.8165 -0.6672
Ga 0.4332 -1.3323 0.3139
Ga 3.8264 -5.6791 0.2092
Ga 1.2942 -6.6987 -0.6240
Ga 3.6191 -3.0615 -2.5860
Ga 1.2019 -4.0349 -3.3813
Ga 3.1864 -5.8943 -2.4705
Ga -2.6335 -3.4441 -0.2972
Ga -3.0663 -6.2769 -0.1817
Ga -0.6490 -5.3036 0.6137
Ga -3.2735 -3.6594 -2.9769
Ga -0.7414 -2.6398 -2.1437
Ga 0.1197 -8.0062 -3.0816
CELL_PARAMETERS angstrom
-6.4831 -2.6106 -2.1332
5.5755 0.4454 -4.9743
1.4605 -7.1733 4.3398


Entry 4:
! PBE CaTlCu2, optimized geometry; values from VASP
! Formation energy from the elements: 0.01 eV/atom
&SYSTEM
  ibrav = 0, nat = 4, ntyp = 3
/
ATOMIC_SPECIES
Tl 204.38 Tl.upf
Ca 40.08 Ca.upf
Cu 63.55 Cu.upf
ATOMIC_POSITIONS angstrom
Tl 0.0000 0.0000 3.2631
Ca 1.6662 1.6661 5.7431
Cu 0.0000 0.0000 0.4454
Cu 1.6662 1.6661 1.4436
CELL_PARAMETERS angstrom
3.3324 0.0000 0.0000
0.0000 3.3321 0.0000
0.0000 0.0000 7.2634


Entry 5:
! PBE Pr2TmCu12Ni3, optimized geometry; values from VASP
! Formation energy from the elements: 0.24 eV/atom
&SYSTEM
  ibrav = 0, nat = 18, ntyp = 4
/
ATOMIC_SPECIES
Pr 140.91 Pr.upf
Tm 168.93 Tm.upf
Cu 63.55 Cu.upf
Ni 58.69 Ni.upf
ATOMIC_POSITIONS angstrom
Pr -12.6532 9.7856 5.2112
Pr -7.1567 5.5348 2.9475
Tm 0.0000 0.0000 0.0000
Cu -11.3616 7.1560 4.9346
Cu -13.9218 12.5197 5.4591
Cu -15.5848 10.5268 5.1634
Cu -9.8146 9.0098 5.2098
Cu -14.3677 10.8845 7.4470
Cu -10.9468 8.6771 3.0854
Cu -8.4483 8.1643 3.2240
Cu -5.8881 2.8007 2.6996
Cu -4.2251 4.7935 2.9953
Cu -9.9953 6.3105 2.9489
Cu -5.4422 4.4359 0.7116
Cu -8.8631 6.6432 5.0733
Ni -2.1343 3.5061 2.4052
Ni -3.6142 3.0712 -0.3715
Ni -4.1564 1.0829 2.0456
CELL_PARAMETERS angstrom
-4.2686 7.0121 4.8105
-7.2285 6.1424 -0.7431
-8.3128 2.1658 4.0913


Entry 6:
! PBE Zn5P, optimized geometry; values from VASP
! Formation energy from the elements: 0.30 eV/atom
&SYSTEM
  ibrav = 0, nat = 6, ntyp = 2
/
ATOMIC_SPECIES
Zn 65.41 Zn.upf
P 30.97 P.upf
ATOMIC_POSITIONS angstrom
Zn -1.8695 0.4025 -2.1850
Zn -2.6603 1.0324 0.5370
Zn -2.5002 -1.3050 1.8988
Zn -1.3141 -2.2499 -2.1842
Zn -3.0396 -1.4187 -0.5547
P 0.0000 0.0000 0.0000
CELL_PARAMETERS angstrom
-3.4510 1.6623 3.2590
-1.0787 -0.2274 -4.9070
-1.5494 -4.2724 0.5386


Entry 7:
! PBE CoW, optimized geometry; values from VASP
! Formation energy from the elements: 0.23 eV/atom
&SYSTEM
  ibrav = 0, nat = 2, ntyp = 2
/
ATOMIC_SPECIES
Co 58.93 Co.upf
W 183.84 W.upf
ATOMIC_POSITIONS angstrom
Co 0.0000 0.0000 0.0000
W -1.7754 -0.6900 1.8196
CELL_PARAMETERS angstrom
-1.9873 0.2314 -1.8513
0.2689 -2.3050 1.4300
-2.5846 1.5390 2.9668


Entry 8:
! PBE AcSm6Er, optimized geometry; values from VASP
! Formation energy from the elements: 0.03 eV/atom
&SYSTEM
  ibrav = 0, nat = 8, ntyp = 3
/
ATOMIC_SPECIES
Ac 227.00 Ac.upf
Sm 150.36 Sm.upf
Er 167.26 Er.upf
ATOMIC_POSITIONS angstrom
Ac 0.0000 0.0000 0.0000
Sm 2.5864 2.5864 0.0000
Sm 2.5864 2.5864 5.1656
Sm 2.5864 0.0000 2.6713
Sm 2.5864 0.0000 7.6598
Sm 0.0000 2.5864 2.6713
Sm 0.0000 2.5864 7.6598
Er 0.0000 0.0000 5.1656
CELL_PARAMETERS angstrom
5.1727 0.0000 0.0000
0.0000 5.1727 0.0000
0.0000 0.0000 10.3311


Entry 9:
! PBE Be2InBr, optimized geometry; values from VASP
! Formation energy from raw total energies: 1.020 eV per atom
&SYSTEM
  ibrav = 0, nat = 4, ntyp = 3
/
ATOMIC_SPECIES
Be 9.01 Be.upf
Br 79.90 Br.upf
In 114.82 In.upf
ATOMIC_POSITIONS angstrom
Be 1.6877 1.6877 1.6877
Be 5.0631 5.0631 5.0631
Br 0.0000 0.0000 0.0000
In 3.3754 3.3754 3.3754
CELL_PARAMETERS angstrom
0.0000 3.3754 3.3754
3.3754 0.0000 3.3754
3.3754 3.3754 0.0000


Entry 10:
! PBE PrSm3Tm7, optimized geometry; values from VASP
! Formation energy from the elements: 0.19 eV/atom
&SYSTEM
  ibrav = 0, nat = 11, ntyp = 3
/
ATOMIC_SPECIES
Pr 140.91 Pr.upf
Sm 150.36 Sm.upf
Tm 168.93 Tm.upf
ATOMIC_POSITIONS angstrom
Pr 1.7348 2.7193 4.5674
Sm -0.8841 2.9979 6.9610
Sm -3.9055 1.3271 6.4195
Sm -1.7299 0.2351 8.9271
Tm 4.3031 2.4929 2.2404
Tm 1.2743 0.8180 1.6976
Tm 0.4172 -1.9466 3.6788
Tm -2.1304 -1.7341 5.9817
Tm -1.2863 1.0234 4.0193
Tm 0.8852 -0.0665 6.5221
Tm 3.4553 -0.2766 4.2114
CELL_PARAMETERS angstrom
-3.9011 5.2208 5.6583
-1.6976 -5.5456 3.9464
6.0647 3.3538 1.0869


Entry 11:
! PBE Sr2LiIn7, optimized geometry; values from VASP
! Formation energy from the elements: -0.31 eV/atom
&SYSTEM
  ibrav = 0, nat = 10, ntyp = 3
/
ATOMIC_SPECIES
Sr 87.62 Sr.upf
Li 6.94 Li.upf
In 114.82 In.upf
ATOMIC_POSITIONS angstrom
Sr 2.3761 0.0000 9.5784
Sr 0.0000 2.3761 3.1495
Li 2.3761 2.3761 0.0000
In 0.0000 2.3761 11.0484
In 2.3761 0.0000 4.5223
In 2.3761 0.0000 1.6795
In 0.0000 2.3761 8.2056
In 0.0000 0.0000 6.3639
In 0.0000 0.0000 0.0000
In 2.3761 2.3761 6.3639
CELL_PARAMETERS angstrom
4.7521 0.0000 0.0000
0.0000 4.7521 0.0000
0.0000 0.0000 12.7279


Entry 12:
! PBE Na2GeBiAu, optimized geometry; values from VASP
! Formation energy from the elements: 0.49 eV/atom
&SYSTEM
  ibrav = 0, nat = 5, ntyp = 4
/
ATOMIC_SPECIES
Na 22.99 Na.upf
Ge 72.64 Ge.upf
Au 196.97 Au.upf
Bi 208.98 Bi.upf
ATOMIC_POSITIONS angstrom
Na 0.0000 2.9528 0.0000
Na 2.9528 0.0000 0.0000
Ge 2.9528 2.9528 2.6945
Au 0.0000 0.0000 2.6945
Bi 0.0000 0.0000 0.0000
CELL_PARAMETERS angstrom
5.9056 0.0000 0.0000
0.0000 5.9056 0.0000
0.0000 0.0000 5.3890


Number 1: electronic total energy -6.597 eV/atom. Number 2: electronic total energy -3.868 eV/atom. Number 3: electronic total energy -2.455 eV/atom. Number 4: electronic total energy -3.130 eV/atom. Number 5: electronic total energy -4.231 eV/atom. Number 6: electronic total energy -1.663 eV/atom. Number 7: electronic total energy -9.803 eV/atom. Number 8: electronic total energy -4.589 eV/atom. Number 9: electronic total energy -1.946 eV/atom. Number 10: electronic total energy -4.378 eV/atom. Number 11: electronic total energy -2.751 eV/atom. Number 12: electronic total energy -2.388 eV/atom.